(1)
Below is a relaxed structure of InTeMo, with properties calculated at the GGA-PBE level.

Summary:
formation energy from raw total energies	0.152	eV per atom
SG	P3m1, No. 156
crystal system	trigonal

Lattice parameters (Å, degrees): 3.4165 3.4165 6.6941 90.00 90.00 120.00
With the nearest neighbours (Å) after each atom.
Sites, in units of the cell vectors:
Mo  0.6667  0.3333  0.3482  3 Te 2.68, 3 In 2.89
In  0.0000  0.0000  0.0331  3 Mo 2.89
Te  0.3333  0.6667  0.6187  3 Mo 2.68

***

(2)
Below is a relaxed structure of InTe2Mo, with properties calculated at the GGA-PBE level.

Summary:
formation energy from raw total energies	0.161	eV per atom
SG	P2/m, No. 10
crystal system	monoclinic

Lattice parameters (Å, degrees): 3.4111 6.2611 6.3236 53.99 90.00 90.00
With the nearest neighbours (Å) after each atom.
Sites, in units of the cell vectors:
In  0.5000  0.2500  0.2500  2 Mo 2.86
Te  0.0000  0.5622  0.5638  2 Mo 2.70
Te  0.0000  0.9378  0.9362  2 Mo 2.70
Mo  0.5000  0.7500  0.7500  4 Te 2.70, 2 In 2.86

***

(3)
Below is a relaxed structure of InTeMo2, with properties calculated at the GGA-PBE level.

Summary:
formation energy from raw total energies	0.401	eV per atom
SG	Cmm2, No. 35
crystal system	orthorhombic

Lattice parameters (Å, degrees): 3.0097 3.0097 10.1581 90.00 90.00 111.94
With the nearest neighbours (Å) after each atom.
Sites, in units of the cell vectors:
Mo  0.5000  0.5000  0.2210  2 Mo 2.54
Mo  0.0000  0.0000  0.0337  2 Mo 2.54
Te  0.0000  0.0000  0.4560  2 Mo 2.92, 4 Te 3.01
In  0.5000  0.5000  0.7894  2 Mo 3.00, 4 In 3.01